A relaxed structure of Be2SbTe, computed with PBE.

```
Be2SbTe
1.0
1.8097 -3.1840 0.0000
1.8097 3.1840 0.0000
0.0000 0.0000 7.3090
Be Sb Te
2 1 1
direct
0.0000 0.0000 0.2435 Be
0.0000 0.0000 0.7565 Be
0.5000 0.5000 0.5000 Sb
0.5000 0.5000 0.0000 Te
```

Results
Magnetization, μB/f.u.: 0.0
Energy relative to the elements, uncorrected, eV/atom: 0.579